{
  "formula": "TlCuI3",
  "functional": "PBE-GGA",
  "state": "optimized geometry",
  "cell": [[6.703, -3.959, 0.000], [6.703, 3.959, 0.000], [-4.549, 0.000, 6.413]],
  "species": ["Tl", "Tl", "Cu", "Cu", "I", "I", "I", "I", "I", "I"],
  "frac_coords": [[0.247, 0.753, 0.750], [0.753, 0.247, 0.250], [0.000, 0.500, 0.000], [0.500, 0.000, 0.500], [0.216, 0.784, 0.250], [0.266, 0.267, 0.781], [0.267, 0.266, 0.281], [0.733, 0.734, 0.719], [0.734, 0.733, 0.219], [0.784, 0.216, 0.750]],
  "rho_kg_m3": 6329,
  "final_energy_ev_per_cell": -23.9
}

=====

{
  "formula": "ZnCuI4",
  "functional": "PBE-GGA",
  "state": "optimized geometry",
  "cell": [[4.127, 0.000, 0.000], [0.000, 4.127, 0.000], [0.000, 0.000, 12.911]],
  "species": ["Zn", "Cu", "I", "I", "I", "I"],
  "frac_coords": [[0.000, 0.000, 0.000], [0.500, 0.500, 0.500], [0.000, 0.500, 0.380], [0.000, 0.500, 0.872], [0.500, 0.000, 0.128], [0.500, 0.000, 0.620]],
  "rho_kg_m3": 4806,
  "final_energy_ev_per_cell": -13.2
}

=====

{
  "formula": "In2Cu",
  "functional": "PBE-GGA",
  "state": "optimized geometry",
  "cell": [[-3.526, 3.526, 2.584], [3.526, -3.526, 2.584], [3.526, 3.526, -2.584]],
  "species": ["In", "In", "In", "In", "Cu", "Cu"],
  "frac_coords": [[0.154, 0.654, 0.808], [0.346, 0.154, 0.500], [0.654, 0.846, 0.500], [0.846, 0.346, 0.192], [0.000, 0.000, 0.000], [0.500, 0.500, 0.000]],
  "rho_kg_m3": 7576,
  "final_energy_ev_per_cell": -17.6
}

=====

{
  "formula": "In3Cu7",
  "functional": "PBE-GGA",
  "state": "optimized geometry",
  "cell": [[6.679, 0.000, 0.000], [0.024, 9.054, 0.000], [1.246, 2.874, 9.494]],
  "species": ["In", "In", "In", "In", "In", "In", "In", "In", "In", "In", "In", "In", "Cu", "Cu", "Cu", "Cu", "Cu", "Cu", "Cu", "Cu", "Cu", "Cu", "Cu", "Cu", "Cu", "Cu", "Cu", "Cu", "Cu", "Cu", "Cu", "Cu", "Cu", "Cu", "Cu", "Cu", "Cu", "Cu", "Cu", "Cu"],
  "frac_coords": [[0.017, 0.134, 0.121], [0.119, 0.494, 0.134], [0.179, 0.665, 0.396], [0.293, 0.028, 0.444], [0.358, 0.235, 0.683], [0.421, 0.781, 0.017], [0.579, 0.219, 0.983], [0.642, 0.765, 0.317], [0.707, 0.972, 0.556], [0.821, 0.335, 0.604], [0.881, 0.506, 0.866], [0.983, 0.866, 0.879], [0.029, 0.088, 0.634], [0.039, 0.805, 0.154], [0.056, 0.793, 0.635], [0.160, 0.497, 0.662], [0.196, 0.356, 0.438], [0.227, 0.350, 0.918], [0.255, 0.643, 0.837], [0.273, 0.050, 0.937], [0.344, 0.957, 0.198], [0.347, 0.928, 0.727], [0.354, 0.259, 0.212], [0.431, 0.735, 0.586], [0.468, 0.519, 0.249], [0.500, 0.500, 0.000], [0.500, 0.500, 0.500], [0.532, 0.481, 0.751], [0.569, 0.265, 0.414], [0.646, 0.741, 0.788], [0.653, 0.072, 0.273], [0.656, 0.043, 0.802], [0.727, 0.950, 0.063], [0.745, 0.357, 0.163], [0.773, 0.650, 0.082], [0.804, 0.644, 0.562], [0.840, 0.503, 0.338], [0.944, 0.207, 0.365], [0.961, 0.195, 0.846], [0.971, 0.912, 0.366]],
  "rho_kg_m3": 9132,
  "final_energy_ev_per_cell": -137.0
}

=====

{
  "formula": "InCu124",
  "functional": "PBE-GGA",
  "state": "optimized geometry",
  "cell": [[0.000, 9.020, 9.020], [9.020, 0.000, 9.020], [9.020, 9.020, 0.000]],
  "species": ["In", "Cu", "Cu", "Cu", "Cu", "Cu", "Cu", "Cu", "Cu", "Cu", "Cu", "Cu", "Cu", "Cu", "Cu", "Cu", "Cu", "Cu", "Cu", "Cu", "Cu", "Cu", "Cu", "Cu", "Cu", "Cu", "Cu", "Cu", "Cu", "Cu", "Cu", "Cu", "Cu", "Cu", "Cu", "Cu", "Cu", "Cu", "Cu", "Cu", "Cu", "Cu", "Cu", "Cu", "Cu", "Cu", "Cu", "Cu", "Cu", "Cu", "Cu", "Cu", "Cu", "Cu", "Cu", "Cu", "Cu", "Cu", "Cu", "Cu", "Cu", "Cu", "Cu", "Cu", "Cu", "Cu", "Cu", "Cu", "Cu", "Cu", "Cu", "Cu", "Cu", "Cu", "Cu", "Cu", "Cu", "Cu", "Cu", "Cu", "Cu", "Cu", "Cu", "Cu", "Cu", "Cu", "Cu", "Cu", "Cu", "Cu", "Cu", "Cu", "Cu", "Cu", "Cu", "Cu", "Cu", "Cu", "Cu", "Cu", "Cu", "Cu", "Cu", "Cu", "Cu", "Cu", "Cu", "Cu", "Cu", "Cu", "Cu", "Cu", "Cu", "Cu", "Cu", "Cu", "Cu", "Cu", "Cu", "Cu", "Cu", "Cu", "Cu", "Cu", "Cu"],
  "frac_coords": [[0.000, 0.000, 0.000], [0.000, 0.000, 0.206], [0.000, 0.000, 0.401], [0.000, 0.000, 0.599], [0.000, 0.000, 0.794], [0.000, 0.200, 0.400], [0.000, 0.201, 0.201], [0.000, 0.201, 0.598], [0.000, 0.206, 0.000], [0.000, 0.206, 0.794], [0.000, 0.400, 0.200], [0.000, 0.400, 0.400], [0.000, 0.401, 0.000], [0.000, 0.401, 0.599], [0.000, 0.402, 0.799], [0.000, 0.598, 0.201], [0.000, 0.599, 0.000], [0.000, 0.599, 0.401], [0.000, 0.600, 0.600], [0.000, 0.600, 0.800], [0.000, 0.794, 0.000], [0.000, 0.794, 0.206], [0.000, 0.799, 0.402], [0.000, 0.799, 0.799], [0.000, 0.800, 0.600], [0.200, 0.000, 0.400], [0.200, 0.200, 0.200], [0.200, 0.200, 0.399], [0.200, 0.200, 0.800], [0.200, 0.399, 0.200], [0.200, 0.400, 0.000], [0.200, 0.400, 0.400], [0.200, 0.400, 0.600], [0.200, 0.400, 0.800], [0.200, 0.600, 0.400], [0.200, 0.600, 0.600], [0.200, 0.600, 0.800], [0.200, 0.800, 0.200], [0.200, 0.800, 0.400], [0.200, 0.800, 0.600], [0.200, 0.800, 0.800], [0.201, 0.000, 0.201], [0.201, 0.000, 0.598], [0.201, 0.201, 0.000], [0.201, 0.201, 0.598], [0.201, 0.598, 0.000], [0.201, 0.598, 0.201], [0.206, 0.000, 0.000], [0.206, 0.000, 0.794], [0.206, 0.794, 0.000], [0.399, 0.200, 0.200], [0.400, 0.000, 0.200], [0.400, 0.000, 0.400], [0.400, 0.200, 0.000], [0.400, 0.200, 0.400], [0.400, 0.200, 0.600], [0.400, 0.200, 0.800], [0.400, 0.400, 0.000], [0.400, 0.400, 0.200], [0.400, 0.400, 0.400], [0.400, 0.400, 0.600], [0.400, 0.400, 0.800], [0.400, 0.600, 0.200], [0.400, 0.600, 0.400], [0.400, 0.600, 0.600], [0.400, 0.600, 0.800], [0.400, 0.800, 0.200], [0.400, 0.800, 0.400], [0.400, 0.800, 0.600], [0.401, 0.000, 0.000], [0.401, 0.000, 0.599], [0.401, 0.599, 0.000], [0.402, 0.000, 0.799], [0.402, 0.799, 0.000], [0.402, 0.799, 0.799], [0.598, 0.000, 0.201], [0.598, 0.201, 0.000], [0.598, 0.201, 0.201], [0.599, 0.000, 0.000], [0.599, 0.000, 0.401], [0.599, 0.401, 0.000], [0.600, 0.000, 0.600], [0.600, 0.000, 0.800], [0.600, 0.200, 0.400], [0.600, 0.200, 0.600], [0.600, 0.200, 0.800], [0.600, 0.400, 0.200], [0.600, 0.400, 0.400], [0.600, 0.400, 0.600], [0.600, 0.400, 0.800], [0.600, 0.600, 0.000], [0.600, 0.600, 0.200], [0.600, 0.600, 0.400], [0.600, 0.600, 0.600], [0.600, 0.600, 0.800], [0.600, 0.800, 0.000], [0.600, 0.800, 0.200], [0.600, 0.800, 0.400], [0.600, 0.800, 0.600], [0.601, 0.800, 0.800], [0.794, 0.000, 0.000], [0.794, 0.000, 0.206], [0.794, 0.206, 0.000], [0.799, 0.000, 0.402], [0.799, 0.000, 0.799], [0.799, 0.402, 0.000], [0.799, 0.402, 0.799], [0.799, 0.799, 0.000], [0.799, 0.799, 0.402], [0.800, 0.000, 0.600], [0.800, 0.200, 0.200], [0.800, 0.200, 0.400], [0.800, 0.200, 0.600], [0.800, 0.200, 0.800], [0.800, 0.400, 0.200], [0.800, 0.400, 0.400], [0.800, 0.400, 0.600], [0.800, 0.600, 0.000], [0.800, 0.600, 0.200], [0.800, 0.600, 0.400], [0.800, 0.600, 0.600], [0.800, 0.601, 0.800], [0.800, 0.800, 0.200], [0.800, 0.800, 0.601], [0.800, 0.800, 0.800]],
  "rho_kg_m3": 9044,
  "final_energy_ev_per_cell": -463.1
}

=====

{
  "formula": "In2Cu",
  "functional": "PBE-GGA",
  "state": "optimized geometry",
  "cell": [[0.000, 4.190, 4.190], [4.190, 0.000, 4.190], [4.190, 4.190, 0.000]],
  "species": ["In", "In", "In", "In", "Cu", "Cu"],
  "frac_coords": [[0.000, 0.000, 0.000], [0.000, 0.000, 0.500], [0.000, 0.500, 0.000], [0.500, 0.000, 0.000], [0.375, 0.375, 0.375], [0.625, 0.625, 0.625]],
  "rho_kg_m3": 6616,
  "final_energy_ev_per_cell": -14.8
}